No. 1
First-principles (PBE) data for a relaxed structure of Y5Rh, as listed in Alexandria via LeMat-Bulk.

```
data_Y5Rh
_chemical_formula_sum 'Y20 Rh4'
_space_group_name_H-M_alt 'F -4 3 m'
_space_group_IT_number 216
_space_group_name_Hall 'F -4 2 3'
_cell_length_a 8.8873
_cell_length_b 8.8873
_cell_length_c 8.8873
_cell_angle_alpha 90.00
_cell_angle_beta 90.00
_cell_angle_gamma 90.00
loop_
_atom_site_label
_atom_site_type_symbol
_atom_site_fract_x
_atom_site_fract_y
_atom_site_fract_z
Y1 Y 0.0000 0.0000 0.0000
Y2 Y 0.1246 0.1246 0.3754
Rh1 Rh 0.2500 0.2500 0.7500
```

As for the crystal system: cubic.



No. 2
First-principles (PBE) data for a relaxed structure of YbYRh2, as listed in Alexandria via LeMat-Bulk.

```
data_YbYRh2
_chemical_formula_sum 'Yb4 Y4 Rh8'
_space_group_name_H-M_alt 'F m -3 m'
_space_group_IT_number 225
_space_group_name_Hall '-F 4 2 3'
_cell_length_a 6.8331
_cell_length_b 6.8331
_cell_length_c 6.8331
_cell_angle_alpha 90.00
_cell_angle_beta 90.00
_cell_angle_gamma 90.00
loop_
_atom_site_label
_atom_site_type_symbol
_atom_site_fract_x
_atom_site_fract_y
_atom_site_fract_z
Yb1 Yb 0.0000 0.0000 0.0000
Y1 Y 0.0000 0.0000 0.5000
Rh1 Rh 0.2500 0.2500 0.2500
```

As for the crystal system: cubic.



No. 3
First-principles (PBE) data for a relaxed structure of YZnRh, as listed in Alexandria via LeMat-Bulk.

```
data_YZnRh
_chemical_formula_sum 'Y2 Zn2 Rh2'
_space_group_name_H-M_alt 'P 4/n m m'
_space_group_IT_number 129
_cell_length_a 4.3527
_cell_length_b 4.3527
_cell_length_c 6.5048
_cell_angle_alpha 90.00
_cell_angle_beta 90.00
_cell_angle_gamma 90.00
loop_
_space_group_symop_operation_xyz
'x,y,z'
'-x,-y,-z'
'-y+1/2,x,z'
'y+1/2,-x,-z'
'-x+1/2,-y+1/2,z'
'x+1/2,y+1/2,-z'
'y,-x+1/2,z'
'-y,x+1/2,-z'
'x+1/2,-y,-z'
'-x+1/2,y,z'
'-y,-x,-z'
'y,x,z'
'-x,y+1/2,-z'
'x,-y+1/2,z'
'y+1/2,x+1/2,-z'
'-y+1/2,-x+1/2,z'
loop_
_atom_site_label
_atom_site_type_symbol
_atom_site_fract_x
_atom_site_fract_y
_atom_site_fract_z
Y1 Y 0.2500 0.2500 0.2066
Zn1 Zn 0.2500 0.2500 0.7203
Rh1 Rh 0.2500 0.7500 0.5000
```

As for the crystal system: tetragonal.



No. 4
First-principles (PBE) data for a relaxed structure of YZnRh, as listed in Alexandria via LeMat-Bulk.

```
data_YZnRh
_chemical_formula_sum 'Y2 Zn2 Rh2'
_space_group_name_H-M_alt 'P 1 21/m 1'
_space_group_IT_number 11
_cell_length_a 4.1911
_cell_length_b 5.5670
_cell_length_c 5.3504
_cell_angle_alpha 90.00
_cell_angle_beta 112.99
_cell_angle_gamma 90.00
loop_
_space_group_symop_operation_xyz
'x,y,z'
'-x,-y,-z'
'-x,y+1/2,-z'
'x,-y+1/2,z'
loop_
_atom_site_label
_atom_site_type_symbol
_atom_site_fract_x
_atom_site_fract_y
_atom_site_fract_z
Y1 Y 0.2093 0.2500 0.4168
Zn1 Zn 0.5000 0.0000 0.0000
Rh1 Rh 0.0875 0.7500 0.1738
```

As for the crystal system: monoclinic.



No. 5
First-principles (PBE) data for a relaxed structure of YZnRh3, as listed in Alexandria via LeMat-Bulk.

```
data_YZnRh3
_chemical_formula_sum 'Y1 Zn1 Rh3'
_space_group_name_H-M_alt 'P m -3 m'
_space_group_IT_number 221
_space_group_name_Hall '-P 4 2 3'
_cell_length_a 4.8958
_cell_length_b 4.8958
_cell_length_c 4.8958
_cell_angle_alpha 90.00
_cell_angle_beta 90.00
_cell_angle_gamma 90.00
loop_
_atom_site_label
_atom_site_type_symbol
_atom_site_fract_x
_atom_site_fract_y
_atom_site_fract_z
Y1 Y 0.0000 0.0000 0.0000
Zn1 Zn 0.5000 0.5000 0.5000
Rh1 Rh 0.0000 0.0000 0.5000
```

As for the crystal system: cubic. For the energy above the most stable polymorph in this dataset, the calculation gives 1.045 eV/atom.



No. 6
First-principles (PBE) data for a relaxed structure of Y3ZnRh, as listed in Alexandria via LeMat-Bulk.

```
data_Y3ZnRh
_chemical_formula_sum 'Y3 Zn1 Rh1'
_space_group_name_H-M_alt 'P m -3 m'
_space_group_IT_number 221
_space_group_name_Hall '-P 4 2 3'
_cell_length_a 5.3314
_cell_length_b 5.3314
_cell_length_c 5.3314
_cell_angle_alpha 90.00
_cell_angle_beta 90.00
_cell_angle_gamma 90.00
loop_
_atom_site_label
_atom_site_type_symbol
_atom_site_fract_x
_atom_site_fract_y
_atom_site_fract_z
Y1 Y 0.0000 0.0000 0.5000
Zn1 Zn 0.5000 0.5000 0.5000
Rh1 Rh 0.0000 0.0000 0.0000
```

As for the crystal system: cubic. For the energy above the most stable polymorph in this dataset, the calculation gives 0.329 eV/atom.



No. 7
First-principles (PBE) data for a relaxed structure of Y2ZnRh, as listed in Alexandria via LeMat-Bulk.

```
data_Y2ZnRh
_chemical_formula_sum 'Y4 Zn2 Rh2'
_space_group_name_H-M_alt 'A m m 2'
_space_group_IT_number 38
_cell_length_a 4.3792
_cell_length_b 3.8661
_cell_length_c 10.6426
_cell_angle_alpha 90.00
_cell_angle_beta 90.00
_cell_angle_gamma 90.00
loop_
_space_group_symop_operation_xyz
'x,y,z'
'-x,-y,z'
'-x,y,z'
'x,-y,z'
'x,y+1/2,z+1/2'
'-x,-y+1/2,z+1/2'
'-x,y+1/2,z+1/2'
'x,-y+1/2,z+1/2'
loop_
_atom_site_label
_atom_site_type_symbol
_atom_site_fract_x
_atom_site_fract_y
_atom_site_fract_z
Y1 Y 0.0000 0.0000 0.0000
Y2 Y 0.5000 0.0000 0.2799
Zn1 Zn 0.5000 0.0000 0.5679
Rh1 Rh 0.0000 0.0000 0.7150
```

As for the crystal system: orthorhombic.



No. 8
First-principles (PBE) data for a relaxed structure of YZnRh, as listed in Alexandria via LeMat-Bulk.

```
data_YZnRh
_chemical_formula_sum 'Y4 Zn4 Rh4'
_space_group_name_H-M_alt 'P n m a'
_space_group_IT_number 62
_cell_length_a 6.9467
_cell_length_b 4.1116
_cell_length_c 8.0447
_cell_angle_alpha 90.00
_cell_angle_beta 90.00
_cell_angle_gamma 90.00
loop_
_space_group_symop_operation_xyz
'x,y,z'
'-x,-y,-z'
'-x+1/2,-y,z+1/2'
'x+1/2,y,-z+1/2'
'x+1/2,-y+1/2,-z+1/2'
'-x+1/2,y+1/2,z+1/2'
'-x,y+1/2,-z'
'x,-y+1/2,z'
loop_
_atom_site_label
_atom_site_type_symbol
_atom_site_fract_x
_atom_site_fract_y
_atom_site_fract_z
Y1 Y 0.0338 0.2500 0.1854
Zn1 Zn 0.1428 0.2500 0.5654
Rh1 Rh 0.2395 0.7500 0.3803
```

As for the crystal system: orthorhombic.



No. 9
First-principles (PBE) data for a relaxed structure of YZnRh3, as listed in Alexandria via LeMat-Bulk.

```
data_YZnRh3
_chemical_formula_sum 'Y1 Zn1 Rh3'
_space_group_name_H-M_alt 'P m -3 m'
_space_group_IT_number 221
_space_group_name_Hall '-P 4 2 3'
_cell_length_a 4.5773
_cell_length_b 4.5773
_cell_length_c 4.5773
_cell_angle_alpha 90.00
_cell_angle_beta 90.00
_cell_angle_gamma 90.00
loop_
_atom_site_label
_atom_site_type_symbol
_atom_site_fract_x
_atom_site_fract_y
_atom_site_fract_z
Y1 Y 0.0000 0.0000 0.0000
Zn1 Zn 0.5000 0.5000 0.5000
Rh1 Rh 0.0000 0.5000 0.5000
```

As for the crystal system: cubic. For the energy above the most stable polymorph in this dataset, the calculation gives 0.000 eV/atom.



No. 10
First-principles (PBE) data for a relaxed structure of Y2ZnRh, as listed in Alexandria via LeMat-Bulk.

```
data_Y2ZnRh
_chemical_formula_sum 'Y4 Zn2 Rh2'
_space_group_name_H-M_alt 'I m m m'
_space_group_IT_number 71
_space_group_name_Hall '-I 2 2'
_cell_length_a 3.3965
_cell_length_b 3.7596
_cell_length_c 15.5102
_cell_angle_alpha 90.00
_cell_angle_beta 90.00
_cell_angle_gamma 90.00
loop_
_atom_site_label
_atom_site_type_symbol
_atom_site_fract_x
_atom_site_fract_y
_atom_site_fract_z
Y1 Y 0.0000 0.0000 0.1666
Zn1 Zn 0.0000 0.0000 0.5000
Rh1 Rh 0.0000 0.0000 0.0000
```

As for the crystal system: orthorhombic.



No. 11
First-principles (PBE) data for a relaxed structure of YZn3Rh2, as listed in Alexandria via LeMat-Bulk.

```
data_YZn3Rh2
_chemical_formula_sum 'Y4 Zn12 Rh8'
_space_group_name_H-M_alt 'C m c m'
_space_group_IT_number 63
_space_group_name_Hall '-C 2c 2'
_cell_length_a 8.8323
_cell_length_b 8.2251
_cell_length_c 5.7608
_cell_angle_alpha 90.00
_cell_angle_beta 90.00
_cell_angle_gamma 90.00
loop_
_atom_site_label
_atom_site_type_symbol
_atom_site_fract_x
_atom_site_fract_y
_atom_site_fract_z
Y1 Y 0.0000 0.1373 0.2500
Zn1 Zn 0.0000 0.4922 0.7500
Zn2 Zn 0.1726 0.2367 0.7500
Rh1 Rh 0.2397 0.5000 0.0000
```

As for the crystal system: orthorhombic.



No. 12
First-principles (PBE) data for a relaxed structure of YZn3Rh, as listed in Alexandria via LeMat-Bulk.

```
data_YZn3Rh
_chemical_formula_sum 'Y1 Zn3 Rh1'
_space_group_name_H-M_alt 'P m -3 m'
_space_group_IT_number 221
_space_group_name_Hall '-P 4 2 3'
_cell_length_a 5.2704
_cell_length_b 5.2704
_cell_length_c 5.2704
_cell_angle_alpha 90.00
_cell_angle_beta 90.00
_cell_angle_gamma 90.00
loop_
_atom_site_label
_atom_site_type_symbol
_atom_site_fract_x
_atom_site_fract_y
_atom_site_fract_z
Y1 Y 0.0000 0.0000 0.0000
Zn1 Zn 0.0000 0.0000 0.5000
Rh1 Rh 0.5000 0.5000 0.5000
```

As for the crystal system: cubic. For the energy above the most stable polymorph in this dataset, the calculation gives 1.906 eV/atom.



| no. | density of states at the Fermi level (states/eV/cell) | E_form (eV/atom) |
| --- | --- | --- |
| 1 | 40.020 | 0.49 |
| 2 | 59.750 | -0.72 |
| 3 | 3.498 | -0.61 |
| 4 | 2.150 | -0.71 |
| 5 | 6.979 | 1.15 |
| 6 | 5.540 | -0.16 |
| 7 | 6.313 | -0.61 |
| 8 | 4.210 | -0.72 |
| 9 | 6.770 | 0.11 |
| 10 | 6.383 | -0.20 |
| 11 | 10.001 | -0.51 |
| 12 | 8.366 | 1.43 |